1.
The following is a PBE-GGA calculation of Ca4SmPa3P8 after structural relaxation, from Alexandria via LeMat-Bulk.

Cell: 8.1586 8.1586 19.8636 Å, 90.00 90.00 120.00°
Space group R-3m (No. 166, hexagonal axes)
One atom of each set of equivalent atoms:
Ca  0.0000  0.0000  0.0000 [3 per cell]
Ca  0.0000  0.5000  0.0000 [9 per cell]
Sm  0.0000  0.0000  0.5000 [3 per cell]
Pa  0.0000  0.5000  0.5000 [9 per cell]
P  0.0000  0.0000  0.2433 [6 per cell]
P  0.0105  0.5052  0.7562 [18 per cell]

Calculated values
- ΔH_f (0 K): -20.677 eV per formula unit


2.
The following is a PBE-GGA calculation of In2SnGeAs4 after structural relaxation, from Alexandria via LeMat-Bulk.

Cell: 8.3696 9.8091 10.9687 Å, 90.00 90.00 90.00°
Space group Fmm2 (No. 42)
One atom of each set of equivalent atoms:
In  0.2500  0.2500  0.0000 [8 per cell]
Sn  0.0000  0.0000  0.2259 [4 per cell]
Ge  0.0000  0.0000  0.7448 [4 per cell]
As  0.0000  0.2319  0.6507 [8 per cell]
As  0.2408  0.0000  0.8831 [8 per cell]

Calculated values
- ΔH_f (0 K): -0.443 eV per formula unit


3.
The following is a PBE-GGA calculation of ErZr2Cd6 after structural relaxation, from Alexandria via LeMat-Bulk.

Cell: 8.5408 8.5408 9.5422 Å, 90.00 90.00 120.00°
Space group R-3m (No. 166, hexagonal axes)
One atom of each set of equivalent atoms:
Er  0.0000  0.0000  0.0000 [3 per cell]
Zr  0.0000  0.0000  0.3469 [6 per cell]
Cd  0.9997  0.3330  0.1667 [18 per cell]

Calculated values
- ΔH_f (0 K): -1.347 eV per formula unit


4.
The following is a PBE-GGA calculation of Ce2Mg3In2 after structural relaxation, from Alexandria via LeMat-Bulk.

Cell: 4.9808 22.7253 3.2381 Å, 90.00 90.00 90.00°
Space group Cmmm (No. 65)
One atom of each set of equivalent atoms:
Ce  0.0000  0.1512  0.0000 [4 per cell]
Mg  0.0000  0.0000  0.0000 [2 per cell]
Mg  0.0000  0.4313  0.5000 [4 per cell]
In  0.0000  0.2874  0.5000 [4 per cell]

Calculated values
- ΔH_f (0 K): -0.914 eV per formula unit


5.
The following is a PBE-GGA calculation of Nd5DyY2Er after structural relaxation, from Alexandria via LeMat-Bulk.

Cell: 5.6732 20.4572 10.7090 Å, 90.00 90.00 90.00°
Space group Cmc2_1 (No. 36)
One atom of each set of equivalent atoms:
Nd  0.0000  0.0172  0.0000 [4 per cell]
Nd  0.0000  0.1127  0.2771 [4 per cell]
Nd  0.0000  0.2033  0.9607 [4 per cell]
Nd  0.0000  0.2192  0.5668 [4 per cell]
Nd  0.0000  0.4829  0.2733 [4 per cell]
Dy  0.0000  0.3001  0.2653 [4 per cell]
Y  0.0000  0.3848  0.5670 [4 per cell]
Y  0.0000  0.3881  0.9929 [4 per cell]
Er  0.0000  0.0921  0.7195 [4 per cell]

Calculated values
- ΔH_f (0 K): 1.251 eV per formula unit


6.
The following is a PBE-GGA calculation of AlRu4 after structural relaxation, from Alexandria via LeMat-Bulk.

Cell: 4.3398 4.3398 4.3398 Å, 90.00 90.00 90.00°
Space group Pm-3m (No. 221)
One atom of each set of equivalent atoms:
Al  0.0000  0.0000  0.0000 [1 per cell]
Ru  0.0000  0.0000  0.5000 [3 per cell]
Ru  0.5000  0.5000  0.5000 [1 per cell]

Calculated values
- ΔH_f (0 K): 6.731 eV per formula unit
- Distance to the lowest polymorph of the same formula: 1442 meV/atom


7.
The following is a PBE-GGA calculation of CePmHoEr2 after structural relaxation, from Alexandria via LeMat-Bulk.

Cell: 5.8407 8.0062 6.9011 Å, 90.00 90.00 90.00°
Space group Pmma (No. 51)
One atom of each set of equivalent atoms:
Ce  0.0000  0.0000  0.0000 [2 per cell]
Pm  0.2500  0.5000  0.1648 [2 per cell]
Ho  0.2500  0.0000  0.4053 [2 per cell]
Er  0.2500  0.2980  0.6857 [4 per cell]

Calculated values
- ΔH_f (0 K): 1.479 eV per formula unit


8.
The following is a PBE-GGA calculation of Ac2Ho15Er2 after structural relaxation, from Alexandria via LeMat-Bulk.

Cell: 11.2250 11.2250 17.5926 Å, 90.00 90.00 120.00°
Space group R-3m (No. 166, hexagonal axes)
One atom of each set of equivalent atoms:
Ac  0.0000  0.0000  0.1129 [6 per cell]
Ho  0.0000  0.3083  0.0000 [18 per cell]
Ho  0.0000  0.5000  0.5000 [9 per cell]
Ho  0.0180  0.5090  0.1379 [18 per cell]
Er  0.0000  0.0000  0.3300 [6 per cell]

Calculated values
- ΔH_f (0 K): 5.752 eV per formula unit


9.
The following is a PBE-GGA calculation of ScAgSbF2 after structural relaxation, from Alexandria via LeMat-Bulk.

Cell: 4.0492 4.0492 6.1889 Å, 90.00 90.00 90.00°
Space group P4/mmm (No. 123)
One atom of each set of equivalent atoms:
Sc  0.0000  0.0000  0.0000 [1 per cell]
Ag  0.5000  0.5000  0.5000 [1 per cell]
Sb  0.0000  0.0000  0.5000 [1 per cell]
F  0.0000  0.5000  0.0000 [2 per cell]

Calculated values
- Raw formation energy: -2087 meV per atom


10.
The following is a PBE-GGA calculation of UTeC after structural relaxation, from Alexandria via LeMat-Bulk.

Cell: 6.8717 3.9341 10.9217 Å, 90.00 106.74 90.00°
Space group C2/m (No. 12)
One atom of each set of equivalent atoms:
U  0.1651  0.0000  0.3546 [4 per cell]
Te  0.2416  0.5000  0.1625 [4 per cell]
C  0.0433  0.5000  0.4494 [4 per cell]

Calculated values
- Raw formation energy: -226 meV per atom
- Distance to the lowest polymorph of the same formula: 182 meV/atom


11.
The following is a PBE-GGA calculation of LaZn2CuPt after structural relaxation, from Alexandria via LeMat-Bulk.

Cell: 4.7615 4.7615 4.8880 Å, 90.00 90.00 90.00°
Space group P4/mmm (No. 123)
One atom of each set of equivalent atoms:
La  0.0000  0.0000  0.0000 [1 per cell]
Zn  0.0000  0.5000  0.5000 [2 per cell]
Cu  0.5000  0.5000  0.0000 [1 per cell]
Pt  0.5000  0.5000  0.5000 [1 per cell]

Calculated values
- ΔH_f (0 K): -1.227 eV per formula unit


12.
The following is a PBE-GGA calculation of Sm5Zn2 after structural relaxation, from Alexandria via LeMat-Bulk.

Cell: 16.1672 7.4970 6.6193 Å, 90.00 92.80 90.00°
Space group C2/c (No. 15)
One atom of each set of equivalent atoms:
Sm  0.0000  0.0218  0.2500 [4 per cell]
Sm  0.0871  0.3643  0.5221 [8 per cell]
Sm  0.2304  0.0723  0.7536 [8 per cell]
Zn  0.1136  0.2490  0.0216 [8 per cell]

Calculated values
- ΔH_f (0 K): -0.818 eV per formula unit
- Distance to the lowest polymorph of the same formula: 0 meV/atom